(1)
Compound: ScRuPb2
Source: Alexandria via LeMat-Bulk
Functional: PBEsol
Structure: relaxed

Cell and atoms, written as POSCAR:
```
ScRuPb2
1.0
4.1490 0.0000 0.0000
0.0000 4.4224 0.0000
0.0000 0.0000 4.4224
Sc Ru Pb
1 1 2
Cartesian
2.0745 0.0000 0.0000 Sc
2.0745 2.2112 2.2112 Ru
0.0000 0.0000 2.2112 Pb
0.0000 2.2112 0.0000 Pb
```

Results
The calculation puts the calculated total energy at -6.08 eV per atom. As for the space group: P4/mmm (123).



(2)
Compound: AlCo2Se
Source: Alexandria via LeMat-Bulk
Functional: PBEsol
Structure: relaxed

Cell and atoms, written as POSCAR:
```
AlCo2Se
1.0
2.9197 0.0000 0.0000
1.4599 2.5286 0.0000
1.4599 0.8429 7.4290
Co Al Se
2 1 1
Cartesian
1.4599 0.8429 7.3748 Co
4.3796 2.5286 5.5705 Co
1.4599 0.8429 1.6619 Al
2.9197 1.6857 3.9653 Se
```

Results
Its uncorrected formation energy is 147 meV per atom. As for the space group: R3m (160).



(3)
Compound: ScPtAu2
Source: Alexandria via LeMat-Bulk
Functional: PBEsol
Structure: relaxed

Cell and atoms, written as POSCAR:
```
ScPtAu2
1.0
-3.0060 1.0894 -1.4013
-1.6371 -2.7665 1.3611
-1.1020 2.9394 4.6491
Pt Sc Au
1 1 2
Cartesian
-2.8802 0.6516 2.3368 Pt
-0.8135 2.1697 3.4318 Sc
-2.3283 -0.8206 0.0083 Au
-0.2742 0.7312 1.1566 Au
```

Results
The calculation puts the calculated total energy at -6.08 eV per atom. As for the space group: P4mm (99).



(4)
Compound: BaCrF6
Source: Alexandria via LeMat-Bulk
Functional: PBEsol
Structure: relaxed

Cell and atoms, written as POSCAR:
```
BaCrF6
1.0
-1.8592 -4.0961 1.8055
-1.4914 -0.5057 -4.5841
4.5756 -1.4924 -0.5753
F Ba Cr
6 1 1
Cartesian
1.5862 -3.2743 -3.2065 F
-0.3612 -2.8198 -0.1474 F
-0.6399 -4.1751 -2.3829 F
-0.2340 -1.5777 -2.3579 F
1.8649 -1.9191 -0.9710 F
1.4590 -4.5164 -0.9960 F
0.0000 0.0000 0.0000 Ba
0.6125 -3.0471 -1.6770 Cr
```

Results
Its uncorrected formation energy is -3073 meV per atom. As for the space group: R-3m (166).



(5)
Compound: NiBiCl3
Source: Alexandria via LeMat-Bulk
Functional: PBEsol
Structure: relaxed

Cell and atoms, written as POSCAR:
```
NiBiCl3
1.0
5.3782 0.0000 0.0000
0.0000 5.3782 0.0000
0.0000 0.0000 5.3782
Cl Ni Bi
3 1 1
Cartesian
0.0000 0.0000 2.6891 Cl
2.6891 0.0000 0.0000 Cl
0.0000 2.6891 0.0000 Cl
2.6891 2.6891 2.6891 Ni
0.0000 0.0000 0.0000 Bi
```

Results
Its uncorrected formation energy is 297 meV per atom. As for the space group: Pm-3m (221).



(6)
Compound: KCaTa
Source: Alexandria via LeMat-Bulk
Functional: PBEsol
Structure: relaxed

Cell and atoms, written as POSCAR:
```
KCaTa
1.0
5.5246 0.0000 0.0000
2.7623 4.7845 0.0000
2.7623 1.5948 4.5109
K Ca Ta
1 1 1
Cartesian
0.0000 0.0000 0.0000 K
2.7623 1.5948 1.1277 Ca
5.5246 3.1897 2.2554 Ta
```

Results
The calculation puts the calculated total energy at -3.26 eV per atom. As for the space group: F-43m (216).



(7)
Compound: BaAlMo3
Source: Alexandria via LeMat-Bulk
Functional: PBEsol
Structure: relaxed

Cell and atoms, written as POSCAR:
```
BaAlMo3
1.0
-4.5931 -0.6446 -1.1279
0.4003 -4.6448 1.0245
-1.2359 0.8913 4.5235
Ba Mo Al
1 3 1
Cartesian
-2.7144 -2.1991 2.2100 Ba
-2.2965 -0.3223 -0.5640 Mo
-0.6180 0.4456 2.2618 Mo
0.2001 -2.3224 0.5123 Mo
0.0000 0.0000 0.0000 Al
```

Results
The calculation puts the calculated total energy at -6.62 eV per atom. As for the space group: Pm-3m (221).



(8)
Compound: AlP2
Source: Alexandria via LeMat-Bulk
Functional: PBEsol
Structure: relaxed

Cell and atoms, written as POSCAR:
```
AlP2
1.0
4.6851 0.0000 0.0000
0.0000 3.3974 0.0000
0.0000 -1.6987 2.9422
Al P
1 2
Cartesian
0.0000 0.0000 0.0000 Al
3.0670 1.6987 0.9807 P
1.6180 0.0000 1.9615 P
```

Results
The calculation puts the calculated total energy at -5.23 eV per atom. As for the space group: P-3m1 (164).



(9)
Compound: Tl2CrIn
Source: Alexandria via LeMat-Bulk
Functional: PBEsol
Structure: relaxed

Cell and atoms, written as POSCAR:
```
Tl2CrIn
1.0
-2.9120 1.5956 -2.9757
-3.3462 -1.8886 2.2619
2.6604 4.0019 2.8828
Tl Cr In
2 1 1
Cartesian
-1.6903 2.7255 -0.2249 Tl
0.0000 0.0000 0.0000 Tl
-3.1291 -0.1465 -0.3569 Cr
-1.9074 0.9834 2.3939 In
```

Results
The calculation puts the calculated total energy at -4.17 eV per atom. As for the space group: I-4m2 (119).



(10)
Compound: NaTaS2N
Source: Alexandria via LeMat-Bulk
Functional: PBEsol
Structure: relaxed

Cell and atoms, written as POSCAR:
```
NaTaS2N
1.0
-3.8997 0.7788 -0.1554
-0.2977 -2.3382 -4.2472
-0.9225 -4.1502 2.3494
S Na Ta N
2 1 1 1
Cartesian
-0.1489 -1.1691 -2.1236 S
-0.4612 -2.0751 1.1747 S
-2.5599 -2.8548 -1.0266 Na
0.0000 0.0000 0.0000 Ta
-1.9498 0.3894 -0.0777 N
```

Results
Its uncorrected formation energy is -602 meV per atom. As for the space group: P4/mmm (123).



(11)
Compound: Zn2SiMo
Source: Alexandria via LeMat-Bulk
Functional: PBEsol
Structure: relaxed

Cell and atoms, written as POSCAR:
```
Zn2SiMo
1.0
3.5694 0.0000 0.0000
0.0000 3.5694 0.0000
0.0000 0.0000 4.2994
Zn Mo Si
2 1 1
Cartesian
0.0000 1.7847 0.0000 Zn
1.7847 0.0000 0.0000 Zn
1.7847 1.7847 2.1497 Mo
0.0000 0.0000 2.1497 Si
```

Results
Its uncorrected formation energy is 12 meV per atom. As for the space group: P4/mmm (123).



(12)
Compound: KSmMo2O8
Source: Alexandria via LeMat-Bulk
Functional: PBEsol
Structure: relaxed

Cell and atoms, written as POSCAR:
```
KSmMo2O8
1.0
5.3209 0.0000 0.0000
0.0000 5.3209 0.0000
-2.6604 -2.6604 5.8499
Mo O Sm K
2 8 1 1
Cartesian
2.6604 0.0000 2.9249 Mo
2.6604 2.6604 0.0000 Mo
1.4012 3.5218 0.9001 O
1.3822 0.6705 1.8918 O
0.8614 1.2593 4.9497 O
-0.8614 -1.2593 4.9497 O
3.9197 1.7991 0.9001 O
3.9387 -0.6705 1.8918 O
3.3310 1.2782 3.9581 O
1.9899 -1.2782 3.9581 O
0.0000 0.0000 0.0000 Sm
0.0000 2.6604 2.9249 K
```

Results
Its uncorrected formation energy is -2423 meV per atom. As for the space group: I-4 (82).



These records have density of states at the Fermi level values of 3.768; 4.543; 0.975; 10.000; 14.726; 4.198; 8.846; 1.294; 2.035; 2.815; 2.127; 0.000 states/eV/cell, in the order they appear.